(1)
DFT (PBE-GGA) results for a relaxed AcHoBiO2 crystal.

space-group type = I4mm
ΔE_f (raw) = -251.98 kJ per mole of atoms

Cell: 4.031 4.031 7.660 Å, 105.25 105.25 90.00°
Atoms (fractional coordinates):
1 Ac 0.838 0.838 0.676
2 Ho 0.170 0.170 0.339
3 Bi 0.511 0.511 0.021
4 O 0.741 0.241 0.482
5 O 0.241 0.741 0.482


(2)
DFT (PBE-GGA) results for a relaxed AcHoBi2O6 crystal.

space-group type = P1
ΔE_f (raw) = -223.15 kJ per mole of atoms

Cell: 6.199 6.201 6.260 Å, 60.27 60.32 59.94°
Atoms (fractional coordinates):
1 Ac 0.797 0.797 0.609
2 Ho 0.309 0.309 0.073
3 Bi 0.522 0.523 0.434
4 Bi 0.019 0.019 0.942
5 O 0.619 0.192 0.239
6 O 0.193 0.949 0.240
7 O 0.949 0.620 0.239
8 O 0.407 0.688 0.746
9 O 0.688 0.157 0.747
10 O 0.158 0.407 0.747


(3)
DFT (PBE-GGA) results for a relaxed AcHoBiO6 crystal.

space-group type = P312
ΔE_f (raw) = -208.37 kJ per mole of atoms

Cell: 5.247 5.824 5.824 Å, 120.00 90.00 90.00°
Site moments in Bohr magnetons follow the coordinates.
Atoms (fractional coordinates):
1 Ac 0.000 0.333 0.667  0.00
2 Ho 0.500 0.667 0.333  -0.01
3 Bi 0.500 0.000 0.000  -0.02
4 O 0.722 0.698 0.683  0.15
5 O 0.722 0.317 0.016  0.15
6 O 0.722 0.984 0.302  0.15
7 O 0.278 0.317 0.302  0.15
8 O 0.278 0.698 0.016  0.15
9 O 0.278 0.984 0.683  0.15


(4)
DFT (PBE-GGA) results for a relaxed AcHo2BiO8 crystal.

space-group type = P2/m
ΔE_f (raw) = -221.92 kJ per mole of atoms

Cell: 4.007 5.329 7.948 Å, 90.00 90.00 92.11°
Site moments in Bohr magnetons follow the coordinates.
Atoms (fractional coordinates):
1 Ac 0.000 0.000 0.500  0.06
2 Ho 0.500 0.500 0.766  -0.03
3 Ho 0.500 0.500 0.234  -0.03
4 Bi 0.000 0.000 0.000  -0.02
5 O 0.018 0.747 0.223  0.16
6 O 0.528 0.763 0.000  0.13
7 O 0.982 0.253 0.223  0.16
8 O 0.982 0.253 0.777  0.16
9 O 0.472 0.237 0.000  0.13
10 O 0.018 0.747 0.777  0.16
11 O 0.498 0.712 0.500  0.40
12 O 0.502 0.288 0.500  0.40


(5)
DFT (PBE-GGA) results for a relaxed AcHoBi2O8 crystal.

space-group type = I-4
ΔE_f (raw) = -187.31 kJ per mole of atoms

Cell: 5.544 5.544 7.022 Å, 113.25 113.25 90.00°
Atoms (fractional coordinates):
1 Ac 0.750 0.250 0.500
2 Ho 0.000 0.000 0.000
3 Bi 0.500 0.500 0.000
4 Bi 0.250 0.750 0.500
5 O 0.797 0.837 0.178
6 O 0.382 0.341 0.178
7 O 0.604 0.671 0.697
8 O 0.093 0.026 0.697
9 O 0.974 0.396 0.303
10 O 0.329 0.907 0.303
11 O 0.163 0.618 0.822
12 O 0.659 0.203 0.822


(6)
DFT (PBE-GGA) results for a relaxed AcHoBiPb crystal.

energy of formation from the pure elements = -0.480 eV per atom
space-group type = F-43m

Cell: 5.701 5.701 5.701 Å, 60.00 60.00 60.00°
Atoms (fractional coordinates):
1 Pb 0.250 0.250 0.250
2 Ac 0.000 0.000 0.000
3 Bi 0.750 0.750 0.750
4 Ho 0.500 0.500 0.500


(7)
DFT (PBE-GGA) results for a relaxed AcHoBiPd crystal.

energy of formation from the pure elements = -0.571 eV per atom
space-group type = F-43m

Cell: 5.462 5.462 5.462 Å, 60.00 60.00 60.00°
Site moments in Bohr magnetons follow the coordinates.
Atoms (fractional coordinates):
1 Ac 0.250 0.250 0.250  0.11
2 Bi 0.500 0.500 0.500  -0.02
3 Pd 0.000 0.000 0.000  0.04
4 Ho 0.750 0.750 0.750  0.28


(8)
DFT (PBE-GGA) results for a relaxed AcPm2HoBi4 crystal.

energy of formation from the pure elements = -0.901 eV per atom
space-group type = P2/m

Cell: 4.634 8.028 8.014 Å, 70.59 90.00 90.00°
Atoms (fractional coordinates):
1 Ac 0.500 0.500 0.000
2 Pm 0.000 0.000 0.000
3 Pm 0.500 0.000 0.500
4 Ho 0.000 0.500 0.500
5 Bi 0.000 0.758 0.736
6 Bi 0.000 0.242 0.264
7 Bi 0.500 0.750 0.261
8 Bi 0.500 0.250 0.739


(9)
DFT (PBE-GGA) results for a relaxed AcPmHo2Bi4 crystal.

energy of formation from the pure elements = -0.883 eV per atom
space-group type = P2/m

Cell: 4.606 7.955 7.974 Å, 70.52 90.00 90.00°
Atoms (fractional coordinates):
1 Ac 0.500 0.500 0.000
2 Pm 0.000 0.500 0.500
3 Ho 0.000 0.000 0.000
4 Ho 0.500 0.000 0.500
5 Bi 0.000 0.769 0.736
6 Bi 0.000 0.231 0.264
7 Bi 0.500 0.763 0.253
8 Bi 0.500 0.237 0.747


(10)
DFT (PBE-GGA) results for a relaxed AcPr2HoBi4 crystal.

energy of formation from the pure elements = -0.912 eV per atom
space-group type = P2/m

Cell: 4.667 8.080 8.069 Å, 70.58 90.00 90.00°
Atoms (fractional coordinates):
1 Ac 0.500 0.500 0.000
2 Pr 0.000 0.000 0.000
3 Pr 0.500 0.000 0.500
4 Ho 0.000 0.500 0.500
5 Bi 0.000 0.754 0.738
6 Bi 0.000 0.246 0.262
7 Bi 0.500 0.746 0.262
8 Bi 0.500 0.254 0.738


(11)
DFT (PBE-GGA) results for a relaxed AcHo2PuBi4 crystal.

energy of formation from the pure elements = -0.723 eV per atom
space-group type = P2/m

Cell: 4.597 7.963 7.960 Å, 70.56 90.00 90.00°
Site moments in Bohr magnetons follow the coordinates.
Atoms (fractional coordinates):
1 Ac 0.000 0.500 0.500  -0.01
2 Ho 0.000 0.000 0.000  -0.02
3 Ho 0.500 0.000 0.500  -0.07
4 Pu 0.500 0.500 0.000  5.34
5 Bi 0.000 0.762 0.755  -0.09
6 Bi 0.000 0.238 0.245  -0.09
7 Bi 0.500 0.769 0.235  -0.05
8 Bi 0.500 0.231 0.765  -0.05


(12)
DFT (PBE-GGA) results for a relaxed Ac4Ho3ScBi8 crystal.

energy of formation from the pure elements = -0.870 eV per atom
space-group type = R-3m

Cell: 9.315 9.291 9.315 Å, 120.08 120.00 90.00°
Atoms (fractional coordinates):
1 Ac 0.500 0.000 0.000
2 Ac 0.500 0.000 0.500
3 Ac 0.000 0.000 0.000
4 Ac 0.000 0.000 0.500
5 Ho 0.500 0.500 0.000
6 Ho 0.500 0.500 0.500
7 Ho 0.000 0.500 0.500
8 Sc 0.000 0.500 0.000
9 Bi 0.238 0.721 0.984
10 Bi 0.238 0.722 0.475
11 Bi 0.258 0.274 0.516
12 Bi 0.746 0.721 0.984
13 Bi 0.254 0.279 0.016
14 Bi 0.742 0.726 0.484
15 Bi 0.762 0.278 0.525
16 Bi 0.762 0.279 0.016


(13)
DFT (PBE-GGA) results for a relaxed AcHoBiSe crystal.

space-group type = R-3m
ΔE_f (raw) = -112.09 kJ per mole of atoms

Cell: 5.343 5.343 11.731 Å, 76.84 76.84 60.00°
Atoms (fractional coordinates):
1 Ac 0.617 0.617 0.148
2 Ac 0.383 0.383 0.852
3 Ho 0.795 0.795 0.616
4 Ho 0.205 0.205 0.384
5 Bi 0.112 0.112 0.664
6 Bi 0.888 0.888 0.336
7 Se 0.708 0.708 0.877
8 Se 0.292 0.292 0.123


(14)
DFT (PBE-GGA) results for a relaxed Ac2SmHoBi4 crystal.

energy of formation from the pure elements = -0.926 eV per atom
space-group type = P2/m

Cell: 4.701 8.130 8.137 Å, 70.51 90.00 90.00°
Atoms (fractional coordinates):
1 Ac 0.000 0.000 0.000
2 Ac 0.500 0.000 0.500
3 Sm 0.500 0.500 0.000
4 Ho 0.000 0.500 0.500
5 Bi 0.000 0.730 0.754
6 Bi 0.000 0.270 0.246
7 Bi 0.500 0.728 0.260
8 Bi 0.500 0.272 0.740


(15)
DFT (PBE-GGA) results for a relaxed AcSmHo2Bi4 crystal.

energy of formation from the pure elements = -0.878 eV per atom
space-group type = P2/m

Cell: 4.601 7.948 7.965 Å, 70.53 90.00 90.00°
Atoms (fractional coordinates):
1 Ac 0.500 0.500 0.000
2 Sm 0.000 0.500 0.500
3 Ho 0.000 0.000 0.000
4 Ho 0.500 0.000 0.500
5 Bi 0.000 0.768 0.736
6 Bi 0.000 0.232 0.264
7 Bi 0.500 0.763 0.254
8 Bi 0.500 0.237 0.746


(16)
DFT (PBE-GGA) results for a relaxed Ac2HoBi2Te2 crystal.

space-group type = I4/mmm
ΔE_f (raw) = -80.47 kJ per mole of atoms

Cell: 5.812 5.812 9.313 Å, 108.18 108.18 90.00°
Atoms (fractional coordinates):
1 Ac 0.373 0.373 0.746
2 Ac 0.627 0.627 0.254
3 Ho 0.000 0.000 0.000
4 Bi 0.000 0.500 0.000
5 Bi 0.500 0.000 0.000
6 Te 0.182 0.182 0.365
7 Te 0.818 0.818 0.635


(17)
DFT (PBE-GGA) results for a relaxed AcHo2ThBi4 crystal.

energy of formation from the pure elements = -0.802 eV per atom
space-group type = P2/m

Cell: 4.604 7.919 7.994 Å, 70.51 90.00 90.00°
Atoms (fractional coordinates):
1 Ac 0.500 0.500 0.000
2 Ho 0.000 0.000 0.000
3 Ho 0.500 0.000 0.500
4 Th 0.000 0.500 0.500
5 Bi 0.000 0.769 0.736
6 Bi 0.000 0.231 0.264
7 Bi 0.500 0.764 0.252
8 Bi 0.500 0.236 0.748


(18)
DFT (PBE-GGA) results for a relaxed AcHoTlBi crystal.

energy of formation from the pure elements = -0.411 eV per atom
space-group type = F-43m

Cell: 5.673 5.673 5.673 Å, 60.00 60.00 60.00°
Atoms (fractional coordinates):
1 Ac 0.250 0.250 0.250
2 Bi 0.500 0.500 0.500
3 Tl 0.000 0.000 0.000
4 Ho 0.750 0.750 0.750


(19)
DFT (PBE-GGA) results for a relaxed AcHo2TmBi4 crystal.

energy of formation from the pure elements = -0.829 eV per atom
space-group type = P2/m

Cell: 4.572 7.911 7.904 Å, 70.56 90.00 90.00°
Atoms (fractional coordinates):
1 Ac 0.500 0.500 0.000
2 Ho 0.000 0.000 0.000
3 Ho 0.500 0.000 0.500
4 Tm 0.000 0.500 0.500
5 Bi 0.000 0.766 0.733
6 Bi 0.000 0.234 0.267
7 Bi 0.500 0.757 0.260
8 Bi 0.500 0.243 0.740


(20)
DFT (PBE-GGA) results for a relaxed Ac2HoTmBi4 crystal.

energy of formation from the pure elements = -0.888 eV per atom
space-group type = P2/m

Cell: 4.673 8.089 8.062 Å, 109.53 90.00 90.00°
Atoms (fractional coordinates):
1 Ac 0.500 0.000 0.500
2 Ac 0.000 0.500 0.500
3 Ho 0.500 0.500 0.000
4 Tm 0.000 0.000 0.000
5 Bi 0.500 0.240 0.224
6 Bi 0.500 0.760 0.776
7 Bi 0.000 0.257 0.775
8 Bi 0.000 0.743 0.225


(21)
DFT (PBE-GGA) results for a relaxed Ac2Y3HoBi6 crystal.

energy of formation from the pure elements = -0.897 eV per atom
space-group type = C2/m

Cell: 8.003 8.003 7.995 Å, 99.65 99.65 120.00°
Atoms (fractional coordinates):
1 Ac 0.335 0.665 0.000
2 Ac 0.665 0.335 0.000
3 Y 0.172 0.828 0.500
4 Y 0.828 0.172 0.500
5 Y 0.500 0.500 0.500
6 Ho 0.000 0.000 0.000
7 Bi 0.913 0.593 0.737
8 Bi 0.770 0.770 0.267
9 Bi 0.087 0.407 0.263
10 Bi 0.593 0.913 0.737
11 Bi 0.230 0.230 0.733
12 Bi 0.407 0.087 0.263


(22)
DFT (PBE-GGA) results for a relaxed Ac4Y3HoBi8 crystal.

energy of formation from the pure elements = -0.927 eV per atom
space-group type = R-3m

Cell: 9.370 9.353 9.371 Å, 120.06 120.00 90.00°
Atoms (fractional coordinates):
1 Ac 0.500 0.000 0.000
2 Ac 0.500 0.000 0.500
3 Ac 0.000 0.000 0.000
4 Ac 0.000 0.000 0.500
5 Y 0.500 0.500 0.000
6 Y 0.500 0.500 0.500
7 Y 0.000 0.500 0.500
8 Ho 0.000 0.500 0.000
9 Bi 0.242 0.727 0.985
10 Bi 0.242 0.727 0.484
11 Bi 0.257 0.272 0.515
12 Bi 0.743 0.727 0.985
13 Bi 0.257 0.273 0.015
14 Bi 0.743 0.728 0.485
15 Bi 0.758 0.273 0.516
16 Bi 0.758 0.273 0.015


(23)
DFT (PBE-GGA) results for a relaxed AcHoZnBi crystal.

energy of formation from the pure elements = -0.371 eV per atom
space-group type = F-43m

Cell: 5.533 5.533 5.533 Å, 60.00 60.00 60.00°
Atoms (fractional coordinates):
1 Zn 0.250 0.250 0.250
2 Ac 0.500 0.500 0.500
3 Bi 0.750 0.750 0.750
4 Ho 0.000 0.000 0.000


(24)
DFT (PBE-GGA) results for a relaxed Ac2BiI crystal.

space-group type = R-3m
ΔE_f (raw) = -74.91 kJ per mole of atoms
offset from the most stable computed form = 0.157 eV per atom

Cell: 4.616 4.616 10.928 Å, 77.81 77.81 60.00°
Atoms (fractional coordinates):
1 I 0.000 0.000 0.000
2 Ac 0.102 0.102 0.693
3 Ac 0.898 0.898 0.307
4 Bi 0.500 0.500 0.500